Entry P
## Nd4Tm3 (GGA-PBE)

Data for an optimized crystal structure of Nd4Tm3.

a = 3.6092 Å, b = 5.0572 Å, c = 25.2585 Å
α = 90.00°, β = 90.00°, γ = 90.00°
Sites, in units of the cell vectors:
Nd: 0.0000 0.0000 0.0706
Nd: 0.0000 0.0000 0.2130
Nd: 0.0000 0.0000 0.7870
Nd: 0.0000 0.0000 0.9294
Nd: 0.5000 0.5000 0.2870
Nd: 0.5000 0.5000 0.4294
Nd: 0.5000 0.5000 0.5706
Nd: 0.5000 0.5000 0.7130
Tm: 0.0000 0.0000 0.3578
Tm: 0.0000 0.0000 0.5000
Tm: 0.0000 0.0000 0.6422
Tm: 0.5000 0.5000 0.0000
Tm: 0.5000 0.5000 0.1422
Tm: 0.5000 0.5000 0.8578

Results
V in Å³/atom: 32.93
Magnetization in μB per atom: 0.0000

---

Entry Q
## Nd4Tm3 (GGA-PBE)

Data for an optimized crystal structure of Nd4Tm3.

a = 5.6260 Å, b = 5.6303 Å, c = 8.7445 Å
α = 104.80°, β = 95.61°, γ = 116.70°
Sites, in units of the cell vectors:
Nd: 0.1376 0.2788 0.4164
Nd: 0.2865 0.5753 0.8617
Nd: 0.7135 0.4247 0.1383
Nd: 0.8624 0.7212 0.5836
Tm: 0.0000 0.0000 0.0000
Tm: 0.4334 0.8563 0.2898
Tm: 0.5666 0.1437 0.7102

Results
V in Å³/atom: 33.13
Magnetization in μB per atom: 0.0000

---

Pick the least stable structure from those above. Pick: entry Q